(1)
Compound: RbCr3Ga
Source: the Alexandria database
Functional: PBE
Structure: optimized geometry

Properties
E above lowest polymorph (eV/atom): 1.269
DFT formation energy (eV/atom): 2.373
Mass density (g/cm3): 2.5
Total magnetic moment (μB/cell): 16.0
E_tot (eV per atom): -4.20

Unit cell a=5.9347 b=5.9347 c=5.9347 alpha=90.00 beta=90.00 gamma=90.00
Space group Pm-3m (No. 221)
One atom of each set of equivalent atoms:
Rb (0.0000, 0.0000, 0.0000)
Cr (0.0000, 0.0000, 0.5000)
Ga (0.5000, 0.5000, 0.5000)

=====

(2)
Compound: RbCrGa2
Source: the Alexandria database
Functional: PBE
Structure: optimized geometry

Properties
E above lowest polymorph (eV/atom): 0.153
DFT formation energy (eV/atom): 0.214
Mass density (g/cm3): 5.2
Total magnetic moment (μB/cell): 3.3
E_tot (eV per atom): -3.95

Unit cell a=3.2443 b=3.2443 c=8.3729 alpha=90.00 beta=90.00 gamma=90.00
Space group P4/mmm (No. 123)
One atom of each set of equivalent atoms:
Rb (0.0000, 0.0000, 0.0000)
Cr (0.0000, 0.0000, 0.5000)
Ga (0.5000, 0.5000, 0.3293)

=====

(3)
Compound: RbCrGa2
Source: the Alexandria database
Functional: PBE
Structure: optimized geometry

Properties
E above lowest polymorph (eV/atom): 0.059
DFT formation energy (eV/atom): 0.121
Mass density (g/cm3): 4.4
Total magnetic moment (μB/cell): 0.5
E_tot (eV per atom): -4.04

Unit cell a=12.7152 b=4.2786 c=8.0067 alpha=90.00 beta=106.41 gamma=90.00
Space group Cm (No. 8)
One atom of each set of equivalent atoms:
Rb (0.0000, 0.0000, 0.0000)
Rb (0.2076, 0.5000, 0.8233)
Cr (0.1894, 0.0000, 0.4190)
Cr (0.2780, 0.5000, 0.4013)
Ga (0.0659, 0.5000, 0.3627)
Ga (0.3428, 0.0000, 0.2415)
Ga (0.3942, 0.0000, 0.6131)
Ga (0.4915, 0.5000, 0.4832)

=====

(4)
Compound: RbCrGaS4
Source: the Alexandria database
Functional: PBE
Structure: optimized geometry

Properties
Raw formation energy (meV per atom): -677.5
Mass density (g/cm3): 3.3
Total magnetic moment (μB/cell): 4.0
E_tot (eV per atom): -4.98

Unit cell a=6.3339 b=6.5133 c=8.2807 alpha=90.00 beta=92.79 gamma=90.00
Space group P2_1/m (No. 11)
One atom of each set of equivalent atoms:
Rb (0.2313, 0.2500, 0.0668)
Cr (0.1619, 0.7500, 0.4628)
Ga (0.3550, 0.2500, 0.6387)
S (0.0863, 0.0070, 0.6668)
S (0.3399, 0.7500, 0.2079)
S (0.4865, 0.7500, 0.5975)

=====

(5)
Compound: RbCrGa2Sb
Source: the Alexandria database
Functional: PBE
Structure: optimized geometry

Properties
Raw formation energy (meV per atom): 889.1
Mass density (g/cm3): 4.1
Total magnetic moment (μB/cell): 0.2
E_tot (eV per atom): -3.26

Unit cell a=5.7056 b=5.7056 c=5.0066 alpha=90.00 beta=90.00 gamma=90.00
Space group P4/mmm (No. 123)
One atom of each set of equivalent atoms:
Rb (0.0000, 0.0000, 0.0000)
Cr (0.5000, 0.5000, 0.0000)
Ga (0.0000, 0.5000, 0.5000)
Sb (0.5000, 0.5000, 0.5000)

=====

(6)
Compound: RbCrGa2Te
Source: the Alexandria database
Functional: PBE
Structure: optimized geometry

Properties
Raw formation energy (meV per atom): -22.5
Mass density (g/cm3): 5.4
Total magnetic moment (μB/cell): 0.0
E_tot (eV per atom): -3.98

Unit cell a=4.9654 b=4.9654 c=5.0887 alpha=90.00 beta=90.00 gamma=90.00
Space group P4/mmm (No. 123)
One atom of each set of equivalent atoms:
Rb (0.0000, 0.0000, 0.0000)
Cr (0.5000, 0.5000, 0.5000)
Ga (0.0000, 0.5000, 0.5000)
Te (0.5000, 0.5000, 0.0000)

=====

(7)
Compound: RbCrGaTe4
Source: the Alexandria database
Functional: PBE
Structure: optimized geometry

Properties
Raw formation energy (meV per atom): -339.9
Mass density (g/cm3): 4.9
Total magnetic moment (μB/cell): 4.4
E_tot (eV per atom): -4.08

Unit cell a=7.1038 b=7.4528 c=9.2023 alpha=90.00 beta=93.00 gamma=90.00
Space group P2_1/m (No. 11)
One atom of each set of equivalent atoms:
Rb (0.2396, 0.2500, 0.0517)
Cr (0.1585, 0.7500, 0.4601)
Ga (0.3456, 0.2500, 0.6479)
Te (0.0797, 0.5025, 0.6788)
Te (0.3342, 0.7500, 0.1948)
Te (0.4980, 0.7500, 0.6005)

=====

(8)
Compound: RbCrGaW2
Source: the Alexandria database
Functional: PBE
Structure: optimized geometry

Properties
DFT formation energy (eV/atom): 1.541
Mass density (g/cm3): 8.8
Total magnetic moment (μB/cell): 0.0
E_tot (eV per atom): -6.36

Unit cell a=4.6294 b=4.6294 c=5.0729 alpha=90.00 beta=90.00 gamma=90.00
Space group P4/mmm (No. 123)
One atom of each set of equivalent atoms:
Rb (0.0000, 0.0000, 0.0000)
Cr (0.5000, 0.5000, 0.5000)
Ga (0.5000, 0.5000, 0.0000)
W (0.0000, 0.5000, 0.5000)

=====

(9)
Compound: CrGaRe2
Source: the Alexandria database
Functional: PBE
Structure: optimized geometry

Properties
DFT formation energy (eV/atom): 0.731
Mass density (g/cm3): 12.7
Total magnetic moment (μB/cell): 0.0
E_tot (eV per atom): -8.66

Unit cell a=7.2212 b=7.2212 c=4.9656 alpha=90.00 beta=90.00 gamma=90.00
Space group I-42d (No. 122)
One atom of each set of equivalent atoms:
Cr (0.0000, 0.0000, 0.0000)
Ga (0.0000, 0.0000, 0.5000)
Re (0.1864, 0.7500, 0.1250)

=====

(10)
Compound: CrGa3Re
Source: the Alexandria database
Functional: PBE
Structure: optimized geometry

Properties
E above lowest polymorph (eV/atom): 0.000
DFT formation energy (eV/atom): 0.610
Mass density (g/cm3): 6.6
Total magnetic moment (μB/cell): 4.5
E_tot (eV per atom): -5.62

Unit cell a=4.8163 b=4.8163 c=4.8163 alpha=90.00 beta=90.00 gamma=90.00
Space group Pm-3m (No. 221)
One atom of each set of equivalent atoms:
Cr (0.0000, 0.0000, 0.0000)
Ga (0.0000, 0.5000, 0.5000)
Re (0.5000, 0.5000, 0.5000)

=====

(11)
Compound: Cr2GaRe
Source: the Alexandria database
Functional: PBE
Structure: optimized geometry

Properties
DFT formation energy (eV/atom): 0.029
Mass density (g/cm3): 11.2
Total magnetic moment (μB/cell): 2.3
E_tot (eV per atom): -8.65

Unit cell a=3.0357 b=3.0357 c=5.8104 alpha=90.00 beta=90.00 gamma=90.00
Space group P4/mmm (No. 123)
One atom of each set of equivalent atoms:
Cr (0.0000, 0.0000, 0.2461)
Ga (0.5000, 0.5000, 0.5000)
Re (0.5000, 0.5000, 0.0000)

=====

(12)
Compound: Cr2GaRe
Source: the Alexandria database
Functional: PBE
Structure: optimized geometry

Properties
DFT formation energy (eV/atom): 0.744
Mass density (g/cm3): 9.8
Total magnetic moment (μB/cell): 8.8
E_tot (eV per atom): -7.94

Unit cell a=6.8899 b=6.8899 c=5.1400 alpha=90.00 beta=90.00 gamma=90.00
Space group I-42d (No. 122)
One atom of each set of equivalent atoms:
Cr (0.2172, 0.2500, 0.1250)
Ga (0.0000, 0.0000, 0.5000)
Re (0.0000, 0.0000, 0.0000)

=====

Question: Among the records above, which one has the lowest E_tot?
Answer: CrGaRe2

=====

Question: Which formula does entry 12 have?
Answer: Cr2GaRe